VASP calculation (GGA-PBEsol) on a relaxed ZrSbOs2 crystal.

For the density, the calculation gives 14.31 g/cm³.

It has space group C2/m (No. 12), with a = 8.919 Å, b = 3.098 Å, c = 5.082 Å, α = 90.00°, β = 101.36° and γ = 90.00°. Symmetry generates all atoms from Zr at (0.000, 0.000, 0.000), Sb at (0.000, 0.500, 0.500) and Os at (0.245, 0.500, 0.253).

=====

VASP calculation (GGA-PBEsol) on a relaxed ZrSbOs2 crystal.

For the density, the calculation gives 14.26 g/cm³.

It has space group Pmm2 (No. 25), with a = 3.118 Å, b = 4.072 Å, c = 5.443 Å, α = 90.00°, β = 90.00° and γ = 90.00°. Symmetry generates all atoms from Zr at (0.000, 0.000, 0.000), Sb at (0.500, 0.500, 0.686), Os at (0.000, 0.000, 0.499) and Os at (0.500, 0.500, 0.194).

=====

VASP calculation (GGA-PBEsol) on a relaxed Zr2SbOs crystal.

For the density, the calculation gives 10.75 g/cm³.

It has space group I-4m2 (No. 119), with a = 3.977 Å, b = 3.977 Å, c = 9.654 Å, α = 90.00°, β = 90.00° and γ = 90.00°. Symmetry generates all atoms from Zr at (0.000, 0.000, 0.000), Zr at (0.000, 0.500, 0.250), Sb at (0.000, 0.500, 0.750) and Os at (0.000, 0.000, 0.500).

=====

Values for raw formation energy, eV/atom, ordered as above
0.12, 0.13, -0.33